1.
Below is a relaxed SrTiMo2P crystal, with properties calculated at the PBE level.

It has space group P4/mmm (No. 123), with a = 4.690 Å, b = 4.690 Å, c = 4.925 Å, α = 90.00°, β = 90.00° and γ = 90.00°. Symmetry generates all atoms from Sr at (0.000, 0.000, 0.000), Ti at (0.500, 0.500, 0.500), Mo at (0.000, 0.500, 0.500) and P at (0.500, 0.500, 0.000).

The formation energy comes out at 0.8775 eV/atom. As for the crystal system: tetragonal. The uncorrected energy comes out at -6.452 eV per atom. The value obtained for the density of states at the Fermi level is 6.455 states/eV per cell.

***

2.
Below is a relaxed SrYMoP2 crystal, with properties calculated at the PBE level.

It has space group P4/mmm (No. 123), with a = 4.813 Å, b = 4.813 Å, c = 5.353 Å, α = 90.00°, β = 90.00° and γ = 90.00°. Symmetry generates all atoms from Sr at (0.000, 0.000, 0.000), Y at (0.500, 0.500, 0.000), Mo at (0.000, 0.000, 0.500) and P at (0.000, 0.500, 0.500).

The formation energy comes out at 0.3369 eV/atom. As for the crystal system: tetragonal. The uncorrected energy comes out at -5.622 eV per atom. The value obtained for the density of states at the Fermi level is 5.385 states/eV per cell.

***

3.
Below is a relaxed TaMo3P crystal, with properties calculated at the PBE level.

It has space group Pm-3m (No. 221), with a = 4.775 Å, b = 4.775 Å, c = 4.775 Å, α = 90.00°, β = 90.00° and γ = 90.00°. Symmetry generates all atoms from Ta at (0.000, 0.000, 0.000), Mo at (0.000, 0.000, 0.500) and P at (0.500, 0.500, 0.500).

The formation energy comes out at 2.0964 eV/atom. The energy above the most stable polymorph in this dataset is 1646 meV/atom. As for the crystal system: cubic. The uncorrected energy comes out at -7.855 eV per atom. The value obtained for the density of states at the Fermi level is 8.742 states/eV per cell.

***

4.
Below is a relaxed Ta2MoP crystal, with properties calculated at the PBE level.

It has space group F-43m (No. 216), with a = 6.341 Å, b = 6.341 Å, c = 6.341 Å, α = 90.00°, β = 90.00° and γ = 90.00°. Symmetry generates all atoms from Ta at (0.000, 0.000, 0.000), Ta at (0.250, 0.250, 0.250), Mo at (0.000, 0.000, 0.500) and P at (0.250, 0.250, 0.750).

The formation energy comes out at 0.1148 eV/atom. As for the crystal system: cubic. The uncorrected energy comes out at -9.872 eV per atom. The value obtained for the density of states at the Fermi level is 20.199 states/eV per cell.

***

5.
Below is a relaxed TaMo2P crystal, with properties calculated at the PBE level.

It has space group P4mm (No. 99), with a = 2.937 Å, b = 2.937 Å, c = 7.244 Å, α = 90.00°, β = 90.00° and γ = 90.00°. Symmetry generates all atoms from Ta at (0.000, 0.000, 0.000), Mo at (0.000, 0.000, 0.574), Mo at (0.500, 0.500, 0.302) and P at (0.500, 0.500, 0.754).

The formation energy comes out at -0.0091 eV/atom. As for the crystal system: tetragonal. The uncorrected energy comes out at -9.740 eV per atom. The value obtained for the density of states at the Fermi level is 4.490 states/eV per cell.

***

6.
Below is a relaxed TaMoP4 crystal, with properties calculated at the PBE level.

It has space group F-43m (No. 216), with a = 6.997 Å, b = 6.997 Å, c = 6.997 Å, α = 90.00°, β = 90.00° and γ = 90.00°. Symmetry generates all atoms from Ta at (0.000, 0.000, 0.000), Mo at (0.250, 0.250, 0.750) and P at (0.125, 0.125, 0.375).

The formation energy comes out at 0.5732 eV/atom. As for the crystal system: cubic. The uncorrected energy comes out at -6.814 eV per atom. The value obtained for the density of states at the Fermi level is 20.383 states/eV per cell.

***

7.
Below is a relaxed TaMo2P crystal, with properties calculated at the PBE level.

It has space group Pm (No. 6), with a = 2.993 Å, b = 4.431 Å, c = 4.938 Å, α = 90.00°, β = 104.73° and γ = 90.00°. Symmetry generates all atoms from Ta at (0.000, 0.000, 0.000), Mo at (0.477, 0.000, 0.501), Mo at (0.819, 0.500, 0.301) and P at (0.512, 0.500, 0.759).

The formation energy comes out at -0.1001 eV/atom. As for the crystal system: monoclinic. The uncorrected energy comes out at -9.831 eV per atom. The value obtained for the density of states at the Fermi level is 2.393 states/eV per cell.

***

8.
Below is a relaxed TaMo2P crystal, with properties calculated at the PBE level.

It has space group Pmmm (No. 47), with a = 3.366 Å, b = 3.971 Å, c = 4.660 Å, α = 90.00°, β = 90.00° and γ = 90.00°. Symmetry generates all atoms from Ta at (0.000, 0.000, 0.000), Mo at (0.000, 0.500, 0.500), Mo at (0.500, 0.000, 0.500) and P at (0.500, 0.500, 0.000).

The formation energy comes out at -0.0361 eV/atom. As for the crystal system: orthorhombic. The uncorrected energy comes out at -9.767 eV per atom. The value obtained for the density of states at the Fermi level is 3.005 states/eV per cell.